LaAl2Zn: relaxed, PBE.

Properties
The uncorrected energy comes out at -3.3475 eV/atom. Its formation energy is 0.0742 eV per atom.

Unit cell a=3.167 b=3.167 c=29.457 alpha=90.00 beta=90.00 gamma=120.00
Fractional coordinates of all 12 atoms:
La 0.000 0.000 0.000
La 0.333 0.667 0.667
La 0.667 0.333 0.333
Al 0.000 0.000 0.504
Al 0.000 0.000 0.761
Al 0.333 0.667 0.171
Al 0.333 0.667 0.428
Al 0.667 0.333 0.095
Al 0.667 0.333 0.837
Zn 0.000 0.000 0.240
Zn 0.333 0.667 0.907
Zn 0.667 0.333 0.574